Entry 1:
First-principles (PBE) data for a relaxed ZnSbOs crystal, as listed in Alexandria via LeMat-Bulk.

ρ ... 10849 kg/m3
DOS at the Fermi energy ... 2.51 states/eV/f.u.
Excess energy over the best structure of this formula in the dataset ... 415 meV per atom
Uncorrected formation energy ... 180 kJ/mol of formula units
Spin magnetization ... 0.00 μB/f.u.

Cell: 7.716 7.432 3.006 Å, 83.92 73.29 22.79°
Fractional positions:
Os 0.003 0.003 0.997
Sb 0.352 0.352 0.648
Zn 0.645 0.645 0.355


Entry 2:
First-principles (PBE) data for a relaxed La12Sm3Tm crystal, as listed in Alexandria via LeMat-Bulk.

Final energy ... -77.6 eV/cell
ρ ... 6663 kg/m3
DOS at the Fermi energy ... 24.36 states/eV/f.u.
Spin magnetization ... 0.00 μB/f.u.

Cell: 5.222 5.222 20.898 Å, 90.00 90.00 90.00°
Fractional positions:
La 0.500 0.500 0.000
La 0.500 0.500 0.249
La 0.500 0.500 0.500
La 0.500 0.500 0.751
La 0.500 0.000 0.124
La 0.500 0.000 0.374
La 0.500 0.000 0.626
La 0.500 0.000 0.876
La 0.000 0.500 0.124
La 0.000 0.500 0.374
La 0.000 0.500 0.626
La 0.000 0.500 0.876
Sm 0.000 0.000 0.249
Sm 0.000 0.000 0.500
Sm 0.000 0.000 0.751
Tm 0.000 0.000 0.000


Entry 3:
First-principles (PBE) data for a relaxed Fe2MoIr crystal, as listed in Alexandria via LeMat-Bulk.

Final energy ... -36.2 eV/cell
ρ ... 12039 kg/m3
DOS at the Fermi energy ... 5.11 states/eV/f.u.
Spin magnetization ... 4.89 μB/f.u.

Cell: 8.586 8.586 8.586 Å, 18.41 18.41 18.41°
Each line ends with the local moment (μB).
Fractional positions:
Fe 0.995 0.995 0.995  2.40
Fe 0.254 0.254 0.254  2.64
Ir 0.503 0.503 0.503  0.07
Mo 0.749 0.749 0.749  -0.18


Entry 4:
First-principles (PBE) data for a relaxed Y2TcRh crystal, as listed in Alexandria via LeMat-Bulk.

Final energy ... -59.8 eV/cell
ρ ... 7191 kg/m3
DOS at the Fermi energy ... 4.73 states/eV/f.u.
Spin magnetization ... 1.32 μB/f.u.

Cell: 7.499 7.499 6.147 Å, 52.42 52.42 90.00°
Each line ends with the local moment (μB).
Fractional positions:
Y 0.639 0.125 0.250  -0.06
Y 0.111 0.625 0.250  -0.06
Y 0.375 0.361 0.750  -0.06
Y 0.875 0.889 0.750  -0.07
Rh 0.000 0.000 0.000  0.17
Rh 0.750 0.250 0.500  0.17
Tc 0.500 0.500 0.000  1.19
Tc 0.250 0.750 0.500  1.20


Entry 5:
First-principles (PBE) data for a relaxed ZrCuO2F crystal, as listed in Alexandria via LeMat-Bulk.

ρ ... 6064 kg/m3
DOS at the Fermi energy ... 3.00 states/eV/f.u.
Uncorrected formation energy ... -593 kJ/mol of formula units
Spin magnetization ... 0.32 μB/f.u.

Cell: 3.861 3.861 3.779 Å, 90.00 90.00 90.00°
Each line ends with the local moment (μB).
Fractional positions:
O 0.000 0.500 0.000  -0.01
O 0.500 0.000 0.000  -0.01
Cu 0.000 0.000 0.000  -0.02
Zr 0.500 0.500 0.500  0.27
F 0.000 0.000 0.500  0.01


Entry 6:
First-principles (PBE) data for a relaxed Nd12In6N crystal, as listed in Alexandria via LeMat-Bulk.

ρ ... 6729 kg/m3
DOS at the Fermi energy ... 20.45 states/eV/f.u.
Uncorrected formation energy ... -665 kJ/mol of formula units
Spin magnetization ... 0.00 μB/f.u.

Cell: 8.473 8.473 8.473 Å, 95.09 95.09 95.09°
Fractional positions:
Nd 0.806 0.583 0.468
Nd 0.468 0.806 0.583
Nd 0.583 0.468 0.806
Nd 0.194 0.417 0.532
Nd 0.532 0.194 0.417
Nd 0.417 0.532 0.194
Nd 0.968 0.075 0.289
Nd 0.925 0.711 0.032
Nd 0.711 0.032 0.925
Nd 0.032 0.925 0.711
Nd 0.075 0.289 0.968
Nd 0.289 0.968 0.075
In 0.644 0.852 0.252
In 0.748 0.356 0.148
In 0.148 0.748 0.356
In 0.356 0.148 0.748
In 0.252 0.644 0.852
In 0.852 0.252 0.644
N 0.000 0.000 0.000


Entry 7:
First-principles (PBE) data for a relaxed Ce2NdThSb5 crystal, as listed in Alexandria via LeMat-Bulk.

ρ ... 6062 kg/m3
DOS at the Fermi energy ... 17.27 states/eV/f.u.
Uncorrected formation energy ... -120 kJ/mol of formula units
Spin magnetization ... 1.70 μB/f.u.

Cell: 5.409 5.409 11.846 Å, 90.00 90.00 90.00°
Each line ends with the local moment (μB).
Fractional positions:
Ce 0.500 0.500 0.305  0.97
Ce 0.500 0.500 0.695  0.97
Nd 0.000 0.000 0.500  -0.01
Th 0.000 0.000 0.000  -0.04
Sb 0.000 0.500 0.500  -0.03
Sb 0.500 0.000 0.500  -0.03
Sb 0.000 0.000 0.752  -0.03
Sb 0.000 0.000 0.248  -0.03
Sb 0.500 0.500 0.000  -0.02


Entry 8:
First-principles (PBE) data for a relaxed NaAg2Au2 crystal, as listed in Alexandria via LeMat-Bulk.

ρ ... 10429 kg/m3
DOS at the Fermi energy ... 1.39 states/eV/f.u.
Excess energy over the best structure of this formula in the dataset ... 0 meV per atom
Spin magnetization ... 0.00 μB/f.u.

Cell: 8.282 8.282 2.937 Å, 90.00 90.00 90.00°
Fractional positions:
Na 0.000 0.000 0.000
Na 0.500 0.500 0.000
Au 0.175 0.675 0.500
Au 0.675 0.825 0.500
Au 0.825 0.325 0.500
Au 0.325 0.175 0.500
Ag 0.378 0.878 0.000
Ag 0.878 0.622 0.000
Ag 0.622 0.122 0.000
Ag 0.122 0.378 0.000


Entry 9:
First-principles (PBE) data for a relaxed Ce2PrGa crystal, as listed in Alexandria via LeMat-Bulk.

ρ ... 7671 kg/m3
DOS at the Fermi energy ... 9.68 states/eV/f.u.
Excess energy over the best structure of this formula in the dataset ... 262 meV per atom
Spin magnetization ... 0.01 μB/f.u.

Cell: 5.317 5.317 5.316 Å, 60.00 60.00 60.00°
Fractional positions:
Pr 0.000 0.000 0.000
Ga 0.500 0.500 0.500
Ce 0.750 0.750 0.750
Ce 0.250 0.250 0.250


Entry 10:
First-principles (PBE) data for a relaxed Pm2Ge4Pd3Pt crystal, as listed in Alexandria via LeMat-Bulk.

Final energy ... -57.9 eV/cell
ρ ... 9477 kg/m3
DOS at the Fermi energy ... 5.62 states/eV/f.u.
Spin magnetization ... 0.00 μB/f.u.

Cell: 4.339 4.339 10.190 Å, 90.00 90.00 90.00°
Fractional positions:
Pm 0.500 0.000 0.249
Pm 0.000 0.500 0.751
Ge 0.500 0.500 0.000
Ge 0.000 0.000 0.000
Ge 0.500 0.000 0.631
Ge 0.000 0.500 0.369
Pd 0.000 0.000 0.500
Pd 0.500 0.000 0.871
Pd 0.000 0.500 0.129
Pt 0.500 0.500 0.500


Entry 11:
First-principles (PBE) data for a relaxed BeH2N crystal, as listed in Alexandria via LeMat-Bulk.

ρ ... 2171 kg/m3
DOS at the Fermi energy ... 1.27 states/eV/f.u.
Excess energy over the best structure of this formula in the dataset ... 738 meV per atom
Spin magnetization ... 0.00 μB/f.u.

Cell: 3.003 3.003 3.003 Å, 60.00 60.00 60.00°
Fractional positions:
Be 0.000 0.000 0.000
H 0.250 0.250 0.250
H 0.750 0.750 0.750
N 0.500 0.500 0.500


Entry 12:
First-principles (PBE) data for a relaxed KSn2Ru crystal, as listed in Alexandria via LeMat-Bulk.

Final energy ... -35.7 eV/cell
ρ ... 3844 kg/m3
DOS at the Fermi energy ... 2.09 states/eV/f.u.
Spin magnetization ... 0.00 μB/f.u.

Cell: 6.608 6.608 8.811 Å, 67.97 67.97 90.00°
Fractional positions:
Ru 0.000 0.000 0.000
Ru 0.750 0.250 0.500
K 0.500 0.500 0.000
K 0.250 0.750 0.500
Sn 0.875 0.125 0.250
Sn 0.875 0.625 0.250
Sn 0.375 0.125 0.750
Sn 0.875 0.125 0.750